The following is a DFT calculation (PBE) of an optimized crystal structure of Ac4TbMg2.

Its formation enthalpy at 0 K is 0.134 eV/atom. The value obtained for the density of states at the Fermi level is 9.57 states/eV/f.u. Its crystal system is tetragonal.

Lattice parameters (Å, degrees): 7.147 7.147 7.147 111.44 111.44 105.59
Fractional coordinates of all 7 atoms:
Ac  0.000  0.000  0.500
Ac  0.000  0.500  0.000
Ac  0.500  0.000  0.000
Ac  0.500  0.500  0.500
Tb  0.000  0.000  0.000
Mg  0.000  0.500  0.500
Mg  0.500  0.000  0.500

---

The following is a DFT calculation (PBE) of an optimized crystal structure of MnCdBr.

The value obtained for the energy relative to the elements, uncorrected is -0.0111 eV/atom. The value obtained for the energy relative to the lowest polymorph listed for this composition is 0 kJ/mol of formula units. The value obtained for the density of states at the Fermi level is 1.18 states/eV/f.u. Its crystal system is trigonal.

Lattice parameters (Å, degrees): 3.543 3.543 6.591 90.00 90.00 120.00
Fractional coordinates of all 3 atoms:
Mn  0.000  0.000  0.000
Cd  0.333  0.667  0.707
Br  0.667  0.333  0.251